No. 1
Density functional theory data (PBE) for crystalline Cd2GeOs at its relaxed geometry.

Computed properties:
E = -61.04 eV for the cell shown

Geometry as CIF:
```
data_Cd2GeOs
_chemical_formula_sum 'Cd8 Ge4 Os4'
_symmetry_space_group_name_H-M 'F -4 3 m'
_symmetry_Int_Tables_number 216
_symmetry_space_group_name_Hall 'F -4 2 3'
_cell_length_a 6.600
_cell_length_b 6.600
_cell_length_c 6.600
_cell_angle_alpha 90.00
_cell_angle_beta 90.00
_cell_angle_gamma 90.00
loop_
_atom_site_label
_atom_site_type_symbol
_atom_site_fract_x
_atom_site_fract_y
_atom_site_fract_z
Cd1 Cd 0.000 0.000 0.000
Cd2 Cd 0.250 0.250 0.250
Ge1 Ge 0.000 0.000 0.500
Os1 Os 0.250 0.250 0.750
```

***

No. 2
Density functional theory data (PBE) for crystalline CdGeOs at its relaxed geometry.

Computed properties:
E = -59.83 eV for the cell shown

Geometry as CIF:
```
data_CdGeOs
_chemical_formula_sum 'Cd4 Ge4 Os4'
_symmetry_space_group_name_H-M 'F -4 3 m'
_symmetry_Int_Tables_number 216
_symmetry_space_group_name_Hall 'F -4 2 3'
_cell_length_a 6.042
_cell_length_b 6.042
_cell_length_c 6.042
_cell_angle_alpha 90.00
_cell_angle_beta 90.00
_cell_angle_gamma 90.00
loop_
_atom_site_label
_atom_site_type_symbol
_atom_site_fract_x
_atom_site_fract_y
_atom_site_fract_z
Cd1 Cd 0.000 0.000 0.000
Ge1 Ge 0.250 0.250 0.250
Os1 Os 0.000 0.000 0.500
```

***

No. 3
Density functional theory data (PBE) for crystalline Cd2GeP4Pd at its relaxed geometry.

Computed properties:
E = -66.19 eV for the cell shown

Geometry as CIF:
```
data_Cd2GeP4Pd
_chemical_formula_sum 'Cd4 Ge2 P8 Pd2'
_symmetry_space_group_name_H-M 'I -4'
_symmetry_Int_Tables_number 82
_cell_length_a 5.646
_cell_length_b 5.646
_cell_length_c 11.481
_cell_angle_alpha 90.00
_cell_angle_beta 90.00
_cell_angle_gamma 90.00
loop_
_symmetry_equiv_pos_as_xyz
'x,y,z'
'y,-x,-z'
'-x,-y,z'
'-y,x,-z'
'x+1/2,y+1/2,z+1/2'
'y+1/2,-x+1/2,-z+1/2'
'-x+1/2,-y+1/2,z+1/2'
'-y+1/2,x+1/2,-z+1/2'
loop_
_atom_site_label
_atom_site_type_symbol
_atom_site_fract_x
_atom_site_fract_y
_atom_site_fract_z
Cd1 Cd 0.000 0.000 0.000
Cd2 Cd 0.000 0.500 0.250
Ge1 Ge 0.000 0.500 0.750
P1 P 0.211 0.243 0.626
Pd1 Pd 0.000 0.000 0.500
```

***

No. 4
Density functional theory data (PBE) for crystalline CdSi16Ge12P3 at its relaxed geometry.

Computed properties:
E = -157.89 eV for the cell shown

Geometry as CIF:
```
data_CdSi16Ge12P3
_chemical_formula_sum 'Cd1 Si16 Ge12 P3'
_symmetry_space_group_name_H-M 'P 1'
_symmetry_Int_Tables_number 1
_cell_length_a 6.805
_cell_length_b 10.442
_cell_length_c 10.446
_cell_angle_alpha 94.64
_cell_angle_beta 96.42
_cell_angle_gamma 108.63
loop_
_symmetry_equiv_pos_as_xyz
'x,y,z'
loop_
_atom_site_label
_atom_site_type_symbol
_atom_site_fract_x
_atom_site_fract_y
_atom_site_fract_z
Cd1 Cd 0.000 0.000 0.000
Si1 Si 0.020 0.890 0.397
Si2 Si 0.073 0.564 0.675
Si3 Si 0.082 0.447 0.097
Si4 Si 0.140 0.125 0.371
Si5 Si 0.180 0.678 0.056
Si6 Si 0.205 0.577 0.474
Si7 Si 0.261 0.246 0.737
Si8 Si 0.278 0.148 0.177
Si9 Si 0.380 0.371 0.123
Si10 Si 0.396 0.263 0.540
Si11 Si 0.457 0.827 0.216
Si12 Si 0.554 0.061 0.178
Si13 Si 0.588 0.956 0.598
Si14 Si 0.639 0.520 0.285
Si15 Si 0.687 0.184 0.553
Si16 Si 0.751 0.746 0.234
Ge1 Ge 0.133 0.017 0.780
Ge2 Ge 0.319 0.811 0.425
Ge3 Ge 0.329 0.705 0.855
Ge4 Ge 0.441 0.944 0.800
Ge5 Ge 0.499 0.494 0.488
Ge6 Ge 0.516 0.381 0.917
Ge7 Ge 0.634 0.619 0.870
Ge8 Ge 0.776 0.642 0.660
Ge9 Ge 0.834 0.195 0.350
Ge10 Ge 0.881 0.876 0.599
Ge11 Ge 0.935 0.436 0.300
Ge12 Ge 0.965 0.330 0.722
P1 P 0.682 0.081 0.983
P2 P 0.819 0.305 0.932
P3 P 0.892 0.751 0.044
```

***

No. 5
Density functional theory data (PBE) for crystalline CdSi17Ge13P at its relaxed geometry.

Computed properties:
E = -157.29 eV for the cell shown

Geometry as CIF:
```
data_CdSi17Ge13P
_chemical_formula_sum 'Cd1 Si17 Ge13 P1'
_symmetry_space_group_name_H-M 'P 1 m 1'
_symmetry_Int_Tables_number 6
_cell_length_a 5.612
_cell_length_b 3.947
_cell_length_c 31.551
_cell_angle_alpha 90.00
_cell_angle_beta 90.12
_cell_angle_gamma 90.00
loop_
_symmetry_equiv_pos_as_xyz
'x,y,z'
'x,-y,z'
loop_
_atom_site_label
_atom_site_type_symbol
_atom_site_fract_x
_atom_site_fract_y
_atom_site_fract_z
Cd1 Cd 0.000 0.000 0.000
Si1 Si 0.237 0.500 0.126
Si2 Si 0.240 0.500 0.627
Si3 Si 0.249 0.500 0.377
Si4 Si 0.495 0.500 0.186
Si5 Si 0.498 0.500 0.438
Si6 Si 0.498 0.500 0.687
Si7 Si 0.499 0.500 0.940
Si8 Si 0.727 0.000 0.935
Si9 Si 0.733 0.000 0.189
Si10 Si 0.738 0.000 0.439
Si11 Si 0.740 0.000 0.687
Si12 Si 0.741 0.000 0.065
Si13 Si 0.747 0.000 0.810
Si14 Si 0.986 0.000 0.249
Si15 Si 0.986 0.000 0.749
Si16 Si 0.987 0.000 0.500
Si17 Si 0.998 0.000 0.627
Ge1 Ge 0.236 0.500 0.248
Ge2 Ge 0.238 0.500 0.499
Ge3 Ge 0.238 0.500 0.749
Ge4 Ge 0.241 0.500 0.877
Ge5 Ge 0.487 0.500 0.313
Ge6 Ge 0.487 0.500 0.564
Ge7 Ge 0.497 0.500 0.065
Ge8 Ge 0.497 0.500 0.813
Ge9 Ge 0.749 0.000 0.313
Ge10 Ge 0.751 0.000 0.564
Ge11 Ge 0.979 0.000 0.875
Ge12 Ge 0.989 0.000 0.127
Ge13 Ge 0.999 0.000 0.378
P1 P 0.283 0.500 0.000
```

***

No. 6
Density functional theory data (PBE) for crystalline Cd2SiGeP4 at its relaxed geometry.

Computed properties:
E = -69.40 eV for the cell shown

Geometry as CIF:
```
data_Cd2SiGeP4
_chemical_formula_sum 'Cd4 Si2 Ge2 P8'
_symmetry_space_group_name_H-M 'I -4'
_symmetry_Int_Tables_number 82
_cell_length_a 5.767
_cell_length_b 5.767
_cell_length_c 10.750
_cell_angle_alpha 90.00
_cell_angle_beta 90.00
_cell_angle_gamma 90.00
loop_
_symmetry_equiv_pos_as_xyz
'x,y,z'
'y,-x,-z'
'-x,-y,z'
'-y,x,-z'
'x+1/2,y+1/2,z+1/2'
'y+1/2,-x+1/2,-z+1/2'
'-x+1/2,-y+1/2,z+1/2'
'-y+1/2,x+1/2,-z+1/2'
loop_
_atom_site_label
_atom_site_type_symbol
_atom_site_fract_x
_atom_site_fract_y
_atom_site_fract_z
Cd1 Cd 0.000 0.000 0.000
Cd2 Cd 0.000 0.500 0.250
Si1 Si 0.000 0.500 0.750
Ge1 Ge 0.000 0.000 0.500
P1 P 0.211 0.257 0.628
```

***

No. 7
Density functional theory data (PBE) for crystalline Cd2SnGeP4 at its relaxed geometry.

Computed properties:
E = -65.69 eV for the cell shown

Geometry as CIF:
```
data_Cd2SnGeP4
_chemical_formula_sum 'Cd4 Sn2 Ge2 P8'
_symmetry_space_group_name_H-M 'I -4'
_symmetry_Int_Tables_number 82
_cell_length_a 5.886
_cell_length_b 5.886
_cell_length_c 11.381
_cell_angle_alpha 90.00
_cell_angle_beta 90.00
_cell_angle_gamma 90.00
loop_
_symmetry_equiv_pos_as_xyz
'x,y,z'
'y,-x,-z'
'-x,-y,z'
'-y,x,-z'
'x+1/2,y+1/2,z+1/2'
'y+1/2,-x+1/2,-z+1/2'
'-x+1/2,-y+1/2,z+1/2'
'-y+1/2,x+1/2,-z+1/2'
loop_
_atom_site_label
_atom_site_type_symbol
_atom_site_fract_x
_atom_site_fract_y
_atom_site_fract_z
Cd1 Cd 0.000 0.000 0.000
Cd2 Cd 0.000 0.500 0.250
Sn1 Sn 0.000 0.000 0.500
Ge1 Ge 0.000 0.500 0.750
P1 P 0.230 0.265 0.631
```

***

No. 8
Density functional theory data (PBE) for crystalline ZnCdGe2P4 at its relaxed geometry.

Computed properties:
E = -68.40 eV for the cell shown

Geometry as CIF:
```
data_ZnCdGe2P4
_chemical_formula_sum 'Zn2 Cd2 Ge4 P8'
_symmetry_space_group_name_H-M 'I -4'
_symmetry_Int_Tables_number 82
_cell_length_a 5.653
_cell_length_b 5.653
_cell_length_c 10.860
_cell_angle_alpha 90.00
_cell_angle_beta 90.00
_cell_angle_gamma 90.00
loop_
_symmetry_equiv_pos_as_xyz
'x,y,z'
'y,-x,-z'
'-x,-y,z'
'-y,x,-z'
'x+1/2,y+1/2,z+1/2'
'y+1/2,-x+1/2,-z+1/2'
'-x+1/2,-y+1/2,z+1/2'
'-y+1/2,x+1/2,-z+1/2'
loop_
_atom_site_label
_atom_site_type_symbol
_atom_site_fract_x
_atom_site_fract_y
_atom_site_fract_z
Zn1 Zn 0.000 0.000 0.000
Cd1 Cd 0.000 0.500 0.750
Ge1 Ge 0.000 0.000 0.500
Ge2 Ge 0.000 0.500 0.250
P1 P 0.231 0.738 0.380
```

***

No. 9
Density functional theory data (PBE) for crystalline CdGe2Pb at its relaxed geometry.

Computed properties:
E = -50.94 eV for the cell shown

Geometry as CIF:
```
data_CdGe2Pb
_chemical_formula_sum 'Cd4 Ge8 Pb4'
_symmetry_space_group_name_H-M 'F -4 3 m'
_symmetry_Int_Tables_number 216
_symmetry_space_group_name_Hall 'F -4 2 3'
_cell_length_a 7.232
_cell_length_b 7.232
_cell_length_c 7.232
_cell_angle_alpha 90.00
_cell_angle_beta 90.00
_cell_angle_gamma 90.00
loop_
_atom_site_label
_atom_site_type_symbol
_atom_site_fract_x
_atom_site_fract_y
_atom_site_fract_z
Cd1 Cd 0.000 0.000 0.000
Ge1 Ge 0.000 0.000 0.500
Ge2 Ge 0.250 0.250 0.250
Pb1 Pb 0.250 0.250 0.750
```

***

No. 10
Density functional theory data (PBE) for crystalline Rb4Cd2GePb at its relaxed geometry.

Computed properties:
E = -30.33 eV for the cell shown

Geometry as CIF:
```
data_Rb4Cd2GePb
_chemical_formula_sum 'Rb8 Cd4 Ge2 Pb2'
_symmetry_space_group_name_H-M 'A m m 2'
_symmetry_Int_Tables_number 38
_cell_length_a 6.799
_cell_length_b 11.381
_cell_length_c 8.630
_cell_angle_alpha 90.00
_cell_angle_beta 90.00
_cell_angle_gamma 90.00
loop_
_symmetry_equiv_pos_as_xyz
'x,y,z'
'-x,-y,z'
'-x,y,z'
'x,-y,z'
'x,y+1/2,z+1/2'
'-x,-y+1/2,z+1/2'
'-x,y+1/2,z+1/2'
'x,-y+1/2,z+1/2'
loop_
_atom_site_label
_atom_site_type_symbol
_atom_site_fract_x
_atom_site_fract_y
_atom_site_fract_z
Rb1 Rb 0.000 0.169 0.000
Rb2 Rb 0.500 0.175 0.293
Cd1 Cd 0.261 0.000 0.661
Ge1 Ge 0.500 0.000 0.905
Pb1 Pb 0.000 0.000 0.396
```

***

No. 11
Density functional theory data (PBE) for crystalline Cd2Ge2Pd3 at its relaxed geometry.

Computed properties:
E = -85.95 eV for the cell shown

Geometry as CIF:
```
data_Cd2Ge2Pd3
_chemical_formula_sum 'Cd6 Ge6 Pd9'
_symmetry_space_group_name_H-M 'R 3 m'
_symmetry_Int_Tables_number 160
_symmetry_space_group_name_Hall 'R 3 -2"'
_cell_length_a 4.5190
_cell_length_b 4.5190
_cell_length_c 21.7298
_cell_angle_alpha 90.00
_cell_angle_beta 90.00
_cell_angle_gamma 120.00
loop_
_atom_site_label
_atom_site_type_symbol
_atom_site_fract_x
_atom_site_fract_y
_atom_site_fract_z
Cd1 Cd 0.0000 0.0000 0.0000
Cd2 Cd 0.0000 0.0000 0.4839
Ge1 Ge 0.0000 0.0000 0.2446
Ge2 Ge 0.0000 0.0000 0.7426
Pd1 Pd 0.0000 0.0000 0.1238
Pd2 Pd 0.0000 0.0000 0.6147
Pd3 Pd 0.0000 0.0000 0.8710
```

***

No. 12
Density functional theory data (PBE) for crystalline Cd2GePd at its relaxed geometry.

Computed properties:
E = -46.74 eV for the cell shown

Geometry as CIF:
```
data_Cd2GePd
_chemical_formula_sum 'Cd8 Ge4 Pd4'
_symmetry_space_group_name_H-M 'F -4 3 m'
_symmetry_Int_Tables_number 216
_symmetry_space_group_name_Hall 'F -4 2 3'
_cell_length_a 6.748
_cell_length_b 6.748
_cell_length_c 6.748
_cell_angle_alpha 90.00
_cell_angle_beta 90.00
_cell_angle_gamma 90.00
loop_
_atom_site_label
_atom_site_type_symbol
_atom_site_fract_x
_atom_site_fract_y
_atom_site_fract_z
Cd1 Cd 0.000 0.000 0.000
Cd2 Cd 0.250 0.250 0.250
Ge1 Ge 0.000 0.000 0.500
Pd1 Pd 0.250 0.250 0.750
```

***

> Among the records above, which one has the lowest E?

CdSi16Ge12P3